DFT (PBE) results for a geometry-optimized NaMn3Fe structure.

Output
**Formation energy**: 0.94 eV/atom
**Final energy**: -6.517 eV per atom

a = 4.5618 Å, b = 4.5618 Å, c = 4.5618 Å
α = 90.00°, β = 90.00°, γ = 90.00°
Site moments in Bohr magnetons follow the coordinates.
Sites, in units of the cell vectors:
Fe 0.0000 0.0000 0.0000  -0.04
Mn 0.5000 0.0000 0.0000  3.63
Mn 0.0000 0.0000 0.5000  3.53
Mn 0.0000 0.5000 0.0000  3.64
Na 0.5000 0.5000 0.5000  -0.01